<P>
! PBE-GGA ScTiP2O, optimized geometry; values from VASP
! spin magnetization = 0.0 μB per cell
&SYSTEM
  ibrav = 0, nat = 5, ntyp = 4
/
ATOMIC_SPECIES
Sc 44.96 Sc.upf
P 30.97 P.upf
O 16.00 O.upf
Ti 47.87 Ti.upf
CELL_PARAMETERS angstrom
4.8427 0.0000 0.0000
0.0000 4.8427 0.0000
0.0000 0.0000 3.6967
ATOMIC_POSITIONS crystal
Sc 0.5000 0.5000 0.5000
P 0.0000 0.5000 0.0000
P 0.5000 0.0000 0.0000
O 0.0000 0.0000 0.5000
Ti 0.0000 0.0000 0.0000

<Q>
! PBE-GGA ScTiP2O, optimized geometry; values from VASP
! spin magnetization = 0.0 μB per cell
&SYSTEM
  ibrav = 0, nat = 5, ntyp = 4
/
ATOMIC_SPECIES
Sc 44.96 Sc.upf
P 30.97 P.upf
O 16.00 O.upf
Ti 47.87 Ti.upf
CELL_PARAMETERS angstrom
4.9608 0.0000 0.0000
0.0000 4.9608 0.0000
0.0000 0.0000 3.8184
ATOMIC_POSITIONS crystal
Sc 0.0000 0.0000 0.0000
P 0.0000 0.5000 0.0000
P 0.5000 0.0000 0.0000
O 0.0000 0.0000 0.5000
Ti 0.5000 0.5000 0.5000

Ranked by calculated energy, most stable first: <P>, <Q>.

<P>
! PBE-GGA ScTlPO2, optimized geometry; values from VASP
! spin magnetization = 0.0 μB per cell
&SYSTEM
  ibrav = 0, nat = 5, ntyp = 4
/
ATOMIC_SPECIES
Sc 44.96 Sc.upf
P 30.97 P.upf
Tl 204.38 Tl.upf
O 16.00 O.upf
CELL_PARAMETERS angstrom
4.1528 0.0000 0.0000
0.0000 4.1528 0.0000
0.0000 0.0000 5.2075
ATOMIC_POSITIONS crystal
Sc 0.5000 0.5000 0.5000
P 0.0000 0.0000 0.5000
Tl 0.0000 0.0000 0.0000
O 0.0000 0.5000 0.0000
O 0.5000 0.0000 0.0000

<Q>
! PBE-GGA ScTlPO2, optimized geometry; values from VASP
! spin magnetization = 1.1 μB per cell
&SYSTEM
  ibrav = 0, nat = 5, ntyp = 4
/
ATOMIC_SPECIES
Sc 44.96 Sc.upf
P 30.97 P.upf
Tl 204.38 Tl.upf
O 16.00 O.upf
CELL_PARAMETERS angstrom
-2.0645 -3.4492 0.3370
2.8765 -1.4866 2.4059
-2.7023 2.0574 4.5021
ATOMIC_POSITIONS crystal
Sc 0.0000 0.0000 0.0000
P 0.0000 0.0000 0.5000
Tl 0.5000 0.5000 0.5000
O 0.0000 0.5000 0.0000
O 0.5000 0.0000 0.0000

Ranked by calculated energy, most stable first: <Q>, <P>.